Here is a relaxed NdY5Er3 crystal from Alexandria. Energies are from PBE.

Calculated values
DOS(E_F) ... 1.3160 states/eV/atom
Volume ... 579 Å³/cell
Energy relative to the elements ... 282 meV per atom
Total DFT energy (no corrections) ... -96.5 eV/cell

Cell: 8.542 8.542 9.974 Å, 115.35 115.35 90.00°
Element x y z (fractional)
Nd1 0.750 0.250 0.500
Nd2 0.250 0.750 0.500
Y1 0.064 0.564 0.728
Y2 0.663 0.163 0.728
Y3 0.163 0.064 0.728
Y4 0.564 0.663 0.728
Y5 0.936 0.436 0.272
Y6 0.337 0.837 0.272
Y7 0.837 0.936 0.272
Y8 0.436 0.337 0.272
Y9 0.500 0.500 0.000
Y10 0.000 0.000 0.000
Er1 0.620 0.120 0.000
Er2 0.380 0.880 0.000
Er3 0.880 0.620 0.000
Er4 0.120 0.380 0.000
Er5 0.250 0.250 0.500
Er6 0.750 0.750 0.500